1.
# MgRu2Br

A relaxed structure of MgRu2Br (PBE-GGA, the Alexandria database).

Cell and atoms, written as POSCAR:
```
MgRu2Br
1.0
3.860 0.000 0.000
0.000 3.860 0.000
0.000 0.000 4.527
Mg Ru Br
1 2 1
direct
0.000 0.000 0.000
0.000 0.500 0.500
0.500 0.000 0.500
0.500 0.500 0.000
```

Values from the calculation:
raw formation energy	0.711	eV per atom
raw total energy	-4.7437	eV/atom
offset from the most stable computed form	596	meV per atom
total moment	2.30	μB/f.u.


2.
# Pm2Tm5Th4

A relaxed structure of Pm2Tm5Th4 (PBE-GGA, the Alexandria database).

Cell and atoms, written as POSCAR:
```
Pm2Tm5Th4
1.0
11.821 -1.728 0.000
11.821 1.728 0.000
-1.199 0.000 8.661
Pm Tm Th
2 5 4
direct
0.088 0.088 0.237
0.912 0.912 0.763
0.142 0.142 0.616
0.232 0.232 0.320
0.500 0.500 0.500
0.768 0.768 0.680
0.858 0.858 0.384
0.050 0.050 0.865
0.317 0.317 0.032
0.683 0.683 0.968
0.950 0.950 0.135
```

Values from the calculation:
formation enthalpy at 0 K	152	meV/atom
raw total energy	-5.4419	eV/atom
offset from the most stable computed form	0	meV per atom
total moment	0.00	μB/f.u.


3.
# Pm6SnGe2

A relaxed structure of Pm6SnGe2 (PBE-GGA, the Alexandria database).

Cell and atoms, written as POSCAR:
```
Pm6SnGe2
1.0
-4.892 5.042 5.301
4.892 -5.042 5.301
4.892 5.042 -5.301
Pm Sn Ge
12 2 4
direct
0.040 0.243 0.797
0.185 0.276 0.460
0.185 0.724 0.909
0.323 0.030 0.707
0.323 0.616 0.293
0.447 0.243 0.203
0.553 0.757 0.797
0.677 0.384 0.707
0.677 0.970 0.293
0.815 0.276 0.091
0.815 0.724 0.540
0.960 0.757 0.203
0.000 0.000 0.000
0.500 0.500 0.000
0.119 0.619 0.500
0.367 0.000 0.367
0.633 0.000 0.633
0.881 0.381 0.500
```

Values from the calculation:
formation enthalpy at 0 K	-606	meV/atom
raw total energy	-5.2441	eV/atom
offset from the most stable computed form	0	meV per atom
total moment	0.00	μB/f.u.


The lowest raw total energy belongs to which entry?
Pm2Tm5Th4


What is the formula in the second record?
Pm2Tm5Th4